# 1
Dy2Y2CI5 | PBE-GGA | relaxed

The structure in POSCAR format:
```
Dy2Y2CI5
1.0
9.5447 -1.9871 0.0000
9.5447 1.9871 0.0000
-1.8773 0.0000 8.3854
Dy Y C I
2 2 1 5
Cartesian
2.3395 0.0000 0.5371
14.8724 0.0000 7.8484
9.1795 0.0000 1.5895
8.0325 0.0000 6.7960
0.0000 0.0000 0.0000
-0.9387 0.0000 4.1927
6.0135 0.0000 1.4893
5.1812 0.0000 5.5345
12.0308 0.0000 2.8510
11.1985 0.0000 6.8962
```

uncorrected energy = -5.0144 eV per atom
space group = C2/m, No. 12
size of the total moment = 0.0 μB per formula unit

# 2
TbAgPbSeS2 | PBE-GGA | relaxed

The structure in POSCAR format:
```
TbAgPbSeS2
1.0
2.0256 -6.7484 0.0000
2.0256 6.7484 0.0000
0.0000 0.0000 10.7704
Tb Ag Pb Se S
2 2 2 2 4
Cartesian
0.0000 0.0000 0.0000
0.0000 0.0000 5.3852
2.0256 0.4163 8.0778
2.0256 -0.4163 2.6926
2.0256 3.6250 2.6926
2.0256 -3.6250 8.0778
2.0256 5.4200 8.0778
2.0256 -5.4200 2.6926
2.0256 1.8183 6.0073
2.0256 1.8183 10.1484
2.0256 -1.8183 0.6221
2.0256 -1.8183 4.7631
```

uncorrected energy = -4.8092 eV per atom
space group = Cmcm, No. 63
size of the total moment = 0.0 μB per formula unit

# 3
TbBeCo | PBE-GGA | relaxed

The structure in POSCAR format:
```
TbBeCo
1.0
0.0000 2.9350 2.9350
2.9350 0.0000 2.9350
2.9350 2.9350 0.0000
Tb Be Co
1 1 1
Cartesian
0.0000 0.0000 0.0000
4.4025 4.4025 4.4025
2.9350 2.9350 2.9350
```

excess energy over the best structure of this formula in the dataset = 65 meV/atom
uncorrected energy = -4.8370 eV per atom
space group = F-43m, No. 216
size of the total moment = 0.3 μB per formula unit

# 4
SmZnCu | PBE-GGA | relaxed

The structure in POSCAR format:
```
SmZnCu
1.0
-2.2027 3.5264 3.7472
2.2027 -3.5264 3.7472
2.2027 3.5264 -3.7472
Sm Zn Cu
2 2 2
Cartesian
0.0000 0.0000 0.0000
0.0000 3.5264 0.5496
2.2027 -1.4198 1.5267
2.2027 1.4198 1.5267
2.2027 2.0994 -0.9654
0.0000 1.4270 2.7818
```

uncorrected energy = -3.5274 eV per atom
calculated formation energy = -0.296 eV/atom
space group = Imm2, No. 44
size of the total moment = 0.0 μB per formula unit

# 5
CsNaPdW | PBE-GGA | relaxed

The structure in POSCAR format:
```
CsNaPdW
1.0
0.0000 3.5242 3.5242
3.5242 0.0000 3.5242
3.5242 3.5242 0.0000
Cs Na Pd W
1 1 1 1
Cartesian
0.0000 0.0000 0.0000
1.7621 1.7621 1.7621
3.5242 3.5242 3.5242
5.2863 5.2863 5.2863
```

excess energy over the best structure of this formula in the dataset = 0 meV/atom
uncorrected energy = -3.5884 eV per atom
space group = F-43m, No. 216
size of the total moment = 0.1 μB per formula unit

# 6
La3NdZn12Ge6 | PBE-GGA | relaxed

The structure in POSCAR format:
```
La3NdZn12Ge6
1.0
7.7134 0.0000 0.0000
0.0000 4.1420 0.0000
-0.0003 0.0000 13.3619
La Nd Zn Ge
3 1 12 6
Cartesian
0.0000 0.0000 0.0000
0.0015 0.0000 4.4597
3.8538 0.0000 11.1281
3.8559 0.0000 6.6801
0.7231 0.0000 10.1648
0.7411 0.0000 7.6517
2.2374 2.0710 8.8990
2.4027 0.0000 2.2245
2.7409 2.0710 0.2939
2.7438 2.0710 4.1687
4.5744 0.0000 3.4957
4.5805 0.0000 0.9694
6.0847 2.0710 2.2303
6.2570 0.0000 8.8954
6.5906 2.0710 6.9744
6.5953 2.0710 10.8353
0.9314 2.0710 2.2279
1.4604 2.0710 11.4384
1.4735 2.0710 6.3720
4.7806 2.0710 8.8968
5.3156 2.0710 4.7732
5.3176 2.0710 13.0548
```

uncorrected energy = -3.2884 eV per atom
space group = Pm, No. 6
size of the total moment = 0.0 μB per formula unit

# 7
LuTlNO | PBE-GGA | relaxed

The structure in POSCAR format:
```
LuTlNO
1.0
4.3389 0.0000 0.0000
0.0000 4.3389 0.0000
0.0000 0.0000 7.8489
Lu Tl N O
2 2 2 2
Cartesian
1.0847 1.0847 0.6878
3.2542 3.2542 7.1611
1.0847 3.2542 3.9245
3.2542 1.0847 3.9245
1.0847 1.0847 2.8060
3.2542 3.2542 5.0429
1.0847 3.2542 0.0000
3.2542 1.0847 0.0000
```

excess energy over the best structure of this formula in the dataset = 125 meV/atom
uncorrected energy = -6.2457 eV per atom
space group = P4/nmm, No. 129
size of the total moment = 0.0 μB per formula unit

# 8
Zr3Ni4Bi2As2 | PBE-GGA | relaxed

The structure in POSCAR format:
```
Zr3Ni4Bi2As2
1.0
-2.9889 2.9889 6.1363
2.9889 -2.9889 6.1363
2.9889 2.9889 -6.1363
Zr Ni Bi As
3 4 2 2
Cartesian
0.0000 0.0000 0.0000
2.9889 0.0000 3.0681
0.0000 2.9889 3.0681
1.4475 1.4475 -1.6741
1.5414 -1.5414 7.8104
1.5414 1.5414 4.4622
-1.5414 1.5414 7.8104
2.9889 0.0000 0.0000
0.0000 2.9889 0.0000
0.0000 0.0000 3.1226
0.0000 0.0000 9.1500
```

uncorrected energy = -6.4645 eV per atom
space group = I-42m, No. 121
size of the total moment = 0.0 μB per formula unit

# 9
LiMgAu2 | PBE-GGA | relaxed

The structure in POSCAR format:
```
LiMgAu2
1.0
0.0000 3.2505 3.2505
3.2505 0.0000 3.2505
3.2505 3.2505 0.0000
Li Mg Au
1 1 2
Cartesian
0.0000 0.0000 0.0000
1.6253 1.6253 1.6253
3.2505 3.2505 3.2505
4.8758 4.8758 4.8758
```

uncorrected energy = -2.9927 eV per atom
space group = F-43m, No. 216

# 10
Ba2NbInO6 | PBE-GGA | relaxed

The structure in POSCAR format:
```
Ba2NbInO6
1.0
0.0000 4.1684 4.1684
4.1684 0.0000 4.1684
4.1684 4.1684 0.0000
Ba Nb In O
2 1 1 6
Cartesian
2.0842 2.0842 2.0842
6.2526 6.2526 6.2526
0.0000 0.0000 0.0000
4.1684 4.1684 4.1684
4.1684 4.1684 2.0097
4.1684 2.0097 4.1684
6.3271 4.1684 4.1684
2.0097 4.1684 4.1684
4.1684 6.3271 4.1684
4.1684 4.1684 6.3271
```

uncorrected energy = -7.1791 eV per atom
space group = Fm-3m, No. 225
size of the total moment = 0.0 μB per formula unit

# 11
Dy2TmSn3Pt3 | PBE-GGA | relaxed

The structure in POSCAR format:
```
Dy2TmSn3Pt3
1.0
4.0090 0.0000 0.0000
0.0000 6.4793 3.7541
0.0000 -6.4793 3.7541
Dy Tm Sn Pt
2 1 3 3
Cartesian
0.0000 -3.8495 3.7541
0.0000 3.8495 3.7541
0.0000 0.0000 2.9435
2.0045 0.0000 0.4186
2.0045 -1.6793 5.0104
2.0045 1.6793 5.0104
0.0000 0.0000 5.9707
2.0045 -2.1394 2.2366
2.0045 2.1394 2.2366
```

uncorrected energy = -5.9669 eV per atom
space group = Amm2, No. 38
size of the total moment = 0.0 μB per formula unit

# 12
RbTm2CuTe4 | PBE-GGA | relaxed

The structure in POSCAR format:
```
RbTm2CuTe4
1.0
2.1820 -7.5647 0.0000
2.1820 7.5647 0.0000
0.0000 0.0000 15.4026
Rb Tm Cu Te
2 4 2 8
Cartesian
2.1820 5.8492 11.5519
2.1820 -5.8492 3.8506
2.1820 2.0233 8.7084
2.1820 2.0233 14.3955
2.1820 -2.0233 1.0071
2.1820 -2.0233 6.6942
2.1820 5.0998 3.8506
2.1820 -5.0998 11.5519
0.0000 0.0000 0.0000
0.0000 0.0000 7.7013
2.1820 3.5677 1.6792
2.1820 3.5677 6.0221
2.1820 1.0184 11.5519
2.1820 -1.0184 3.8506
2.1820 -3.5677 9.3804
2.1820 -3.5677 13.7234
```

uncorrected energy = -4.3773 eV per atom
space group = Cmcm, No. 63
size of the total moment = 0.0 μB per formula unit

# 13
LiLuFeSb | PBE-GGA | relaxed

The structure in POSCAR format:
```
LiLuFeSb
1.0
0.0000 3.2063 3.2063
3.2063 0.0000 3.2063
3.2063 3.2063 0.0000
Li Lu Fe Sb
1 1 1 1
Cartesian
0.0000 0.0000 0.0000
4.8094 4.8094 4.8094
3.2063 3.2063 3.2063
1.6031 1.6031 1.6031
```

excess energy over the best structure of this formula in the dataset = 0 meV/atom
uncorrected energy = -5.0168 eV per atom
space group = F-43m, No. 216
size of the total moment = 1.0 μB per formula unit

# 14
LuNbAlFe | PBE-GGA | relaxed

The structure in POSCAR format:
```
LuNbAlFe
1.0
0.0000 3.2211 3.2211
3.2211 0.0000 3.2211
3.2211 3.2211 0.0000
Lu Nb Al Fe
1 1 1 1
Cartesian
0.0000 0.0000 0.0000
4.8316 4.8316 4.8316
1.6105 1.6105 1.6105
3.2211 3.2211 3.2211
```

excess energy over the best structure of this formula in the dataset = 0 meV/atom
uncorrected energy = -6.5170 eV per atom
space group = F-43m, No. 216
size of the total moment = 0.1 μB per formula unit

# 15
LiSmAu | PBE-GGA | relaxed

The structure in POSCAR format:
```
LiSmAu
1.0
7.3385 0.0000 0.0000
0.0000 4.1575 0.0000
0.0000 0.0000 8.7467
Li Sm Au
4 4 4
Cartesian
0.9315 1.0394 0.5221
2.7377 3.1181 4.8954
4.6008 1.0394 3.8512
6.4070 3.1181 8.2246
0.3348 1.0394 5.9900
3.3345 3.1181 1.6166
4.0040 1.0394 7.1301
7.0037 3.1181 2.7567
1.8305 3.1181 7.7225
1.8387 1.0394 3.3492
5.4998 3.1181 5.3975
5.5080 1.0394 1.0242
```

excess energy over the best structure of this formula in the dataset = 0 meV/atom
uncorrected energy = -3.8908 eV per atom
space group = Pnma, No. 62
size of the total moment = 0.0 μB per formula unit

# 16
LuBeCuBi | PBE-GGA | relaxed

The structure in POSCAR format:
```
LuBeCuBi
1.0
0.0000 3.3990 3.3990
3.3990 0.0000 3.3990
3.3990 3.3990 0.0000
Lu Be Cu Bi
1 1 1 1
Cartesian
0.0000 0.0000 0.0000
1.6995 1.6995 1.6995
5.0985 5.0985 5.0985
3.3990 3.3990 3.3990
```

excess energy over the best structure of this formula in the dataset = 0 meV/atom
uncorrected energy = -3.8492 eV per atom
space group = F-43m, No. 216
size of the total moment = 0.0 μB per formula unit

# 17
Hf3Co5Au | PBE-GGA | relaxed

The structure in POSCAR format:
```
Hf3Co5Au
1.0
6.6282 0.0000 0.0000
-3.3141 5.7402 0.0000
0.0000 0.0000 3.5638
Hf Co Au
3 5 1
Cartesian
-1.9307 3.3441 0.0000
1.3834 2.3961 0.0000
3.8614 0.0000 0.0000
-0.9249 1.6020 1.7819
1.8498 0.0000 1.7819
0.0000 3.8268 1.7819
3.3141 1.9134 1.7819
2.3892 4.1382 1.7819
0.0000 0.0000 0.0000
```

uncorrected energy = -7.8340 eV per atom
calculated formation energy = -0.205 eV/atom
space group = P-62m, No. 189
size of the total moment = 3.0 μB per formula unit

# 18
InGa2Ag2 | PBE-GGA | relaxed

The structure in POSCAR format:
```
InGa2Ag2
1.0
-1.9699 1.9699 6.5506
1.9699 -1.9699 6.5506
1.9699 1.9699 -6.5506
In Ga Ag
1 2 2
Cartesian
0.0000 0.0000 0.0000
1.9699 0.0000 3.2753
0.0000 1.9699 3.2753
0.0000 0.0000 5.1717
0.0000 0.0000 7.9295
```

excess energy over the best structure of this formula in the dataset = 0 meV/atom
uncorrected energy = -2.8496 eV per atom
space group = I4/mmm, No. 139

# 19
Tb2DyIn3CuGe2 | PBE-GGA | relaxed

The structure in POSCAR format:
```
Tb2DyIn3CuGe2
1.0
4.2471 0.0000 0.0000
0.0000 6.4063 3.7012
0.0000 -6.4063 3.7012
Tb Dy In Cu Ge
2 1 3 1 2
Cartesian
0.0000 -3.8281 3.7012
0.0000 3.8281 3.7012
0.0000 0.0000 4.4703
2.1235 -1.5576 2.3913
2.1235 1.5576 2.3913
2.1235 0.0000 7.0945
0.0000 0.0000 1.4989
2.1235 -2.1299 5.1898
2.1235 2.1299 5.1898
```

uncorrected energy = -4.4512 eV per atom
space group = Amm2, No. 38
size of the total moment = 0.0 μB per formula unit

# 20
GdNi2Pt2 | PBE-GGA | relaxed

The structure in POSCAR format:
```
GdNi2Pt2
1.0
-1.8922 1.8922 5.9961
1.8922 -1.8922 5.9961
1.8922 1.8922 -5.9961
Gd Ni Pt
1 2 2
Cartesian
0.0000 0.0000 0.0000
1.8922 0.0000 2.9980
0.0000 1.8922 2.9980
0.0000 0.0000 4.6893
0.0000 0.0000 7.3028
```

uncorrected energy = -6.0621 eV per atom
calculated formation energy = -0.482 eV/atom
space group = I4/mmm, No. 139
size of the total moment = 1.1 μB per formula unit

# 21
DyTmAsO | PBE-GGA | relaxed

The structure in POSCAR format:
```
DyTmAsO
1.0
4.3146 0.0000 0.0000
0.0000 4.3146 0.0000
0.0000 0.0000 8.6660
Dy Tm As O
2 2 2 2
Cartesian
1.0786 1.0786 0.8862
3.2359 3.2359 7.7799
1.0786 3.2359 4.3330
3.2359 1.0786 4.3330
1.0786 1.0786 6.0932
3.2359 3.2359 2.5728
1.0786 3.2359 0.0000
3.2359 1.0786 0.0000
```

excess energy over the best structure of this formula in the dataset = 73 meV/atom
uncorrected energy = -6.5787 eV per atom
space group = P4/nmm, No. 129
size of the total moment = 0.0 μB per formula unit

# 22
La6Ge2Ir | PBE-GGA | relaxed

The structure in POSCAR format:
```
La6Ge2Ir
1.0
8.2568 0.0000 0.0000
-4.1284 7.1506 0.0000
0.0000 0.0000 4.3786
La Ge Ir
6 2 1
Cartesian
-1.7181 2.9759 0.0000
-3.1058 5.3795 2.1893
1.0226 1.7711 2.1893
3.4363 0.0000 0.0000
2.4103 4.1747 0.0000
6.2117 0.0000 2.1893
0.0000 4.7671 2.1893
4.1284 2.3835 2.1893
0.0000 0.0000 0.0000
```

uncorrected energy = -5.9185 eV per atom
space group = P-62m, No. 189
size of the total moment = 0.5 μB per formula unit

# 23
CsLaPa | PBE-GGA | relaxed

The structure in POSCAR format:
```
CsLaPa
1.0
0.0000 3.8167 3.8167
3.8167 0.0000 3.8167
3.8167 3.8167 0.0000
Cs La Pa
1 1 1
Cartesian
0.0000 0.0000 0.0000
1.9083 1.9083 1.9083
5.7250 5.7250 5.7250
```

excess energy over the best structure of this formula in the dataset = 33 meV/atom
uncorrected energy = -3.3319 eV per atom
space group = F-43m, No. 216
size of the total moment = 1.4 μB per formula unit

# 24
Re3AuS5 | PBE-GGA | relaxed

The structure in POSCAR format:
```
Re3AuS5
1.0
5.5057 0.0000 0.0000
-2.7529 4.7681 0.0000
0.0000 0.0000 6.8022
Re Au S
3 1 5
Cartesian
-1.3764 2.3841 0.0000
2.7529 0.0000 0.0000
1.3764 2.3841 0.0000
0.0000 0.0000 3.4011
0.0000 0.0000 0.0000
0.0000 3.1787 1.7853
0.0000 3.1787 5.0169
2.7529 1.5894 1.7853
2.7529 1.5894 5.0169
```

uncorrected energy = -6.4553 eV per atom
space group = P6/mmm, No. 191
size of the total moment = 1.0 μB per formula unit